# 1
# Sr2Li5Ag12 PBE optimized geometry
data_Sr2Li5Ag12
_chemical_formula_sum 'Sr6 Li15 Ag36'
_cell_length_a 9.5789
_cell_length_b 9.5789
_cell_length_c 14.1954
_cell_angle_alpha 90.00
_cell_angle_beta 90.00
_cell_angle_gamma 120.00
_symmetry_space_group_name_H-M 'R -3 m'
_symmetry_Int_Tables_number 166
_symmetry_space_group_name_Hall '-R 3 2"'
loop_
_atom_site_label
_atom_site_type_symbol
_atom_site_fract_x
_atom_site_fract_y
_atom_site_fract_z
Sr1 Sr 0.0000 0.0000 0.1487
Li1 Li 0.0000 0.0000 0.4094
Li2 Li 0.0000 0.5000 0.0000
Ag1 Ag 0.0000 0.2988 0.5000
Ag2 Ag 0.0134 0.5067 0.3452
# Formation energy from the elements = -0.2090 eV per atom
# E = -2.69 eV/atom
# Magnetization = 0.00 μB per formula unit


# 2
# Sr2LiAg10 PBE optimized geometry
data_Sr2LiAg10
_chemical_formula_sum 'Sr4 Li2 Ag20'
_cell_length_a 6.1637
_cell_length_b 18.0846
_cell_length_c 5.9986
_cell_angle_alpha 90.00
_cell_angle_beta 90.00
_cell_angle_gamma 90.00
_symmetry_space_group_name_H-M 'P b a m'
_symmetry_Int_Tables_number 55
_symmetry_space_group_name_Hall '-P 2 2ab'
loop_
_atom_site_label
_atom_site_type_symbol
_atom_site_fract_x
_atom_site_fract_y
_atom_site_fract_z
Sr1 Sr 0.2381 0.1179 0.0000
Li1 Li 0.0000 0.0000 0.5000
Ag1 Ag 0.0196 0.1562 0.5000
Ag2 Ag 0.0688 0.3047 0.5000
Ag3 Ag 0.1364 0.5597 0.5000
Ag4 Ag 0.2362 0.4288 0.2270
# Formation energy from the elements = 0.0104 eV per atom
# E = -2.59 eV/atom
# Magnetization = 0.00 μB per formula unit


# 3
# Sr4LiAg2 PBE optimized geometry
data_Sr4LiAg2
_chemical_formula_sum 'Sr16 Li4 Ag8'
_cell_length_a 13.1619
_cell_length_b 9.5781
_cell_length_c 8.9186
_cell_angle_alpha 90.00
_cell_angle_beta 109.68
_cell_angle_gamma 90.00
_symmetry_space_group_name_H-M 'C 1 m 1'
_symmetry_Int_Tables_number 8
_symmetry_space_group_name_Hall 'C -2y'
loop_
_atom_site_label
_atom_site_type_symbol
_atom_site_fract_x
_atom_site_fract_y
_atom_site_fract_z
Sr1 Sr 0.0000 0.0000 0.0000
Sr2 Sr 0.0008 0.0000 0.5085
Sr3 Sr 0.0139 0.5000 0.0122
Sr4 Sr 0.0163 0.5000 0.5112
Sr5 Sr 0.2840 0.2613 0.1458
Sr6 Sr 0.2934 0.2595 0.6524
Li1 Li 0.2086 0.0000 0.8601
Li2 Li 0.2161 0.0000 0.3607
Ag1 Ag 0.0805 0.2462 0.7939
Ag2 Ag 0.2187 0.5000 0.8630
Ag3 Ag 0.2243 0.5000 0.3672
# Formation energy from the elements = -0.1560 eV per atom
# E = -2.21 eV/atom
# Magnetization = 0.00 μB per formula unit


# 4
# Sr4Li2Ag PBE optimized geometry
data_Sr4Li2Ag
_chemical_formula_sum 'Sr8 Li4 Ag2'
_cell_length_a 6.0860
_cell_length_b 6.0860
_cell_length_c 17.2328
_cell_angle_alpha 90.00
_cell_angle_beta 90.00
_cell_angle_gamma 90.00
_symmetry_space_group_name_H-M 'I 4/m m m'
_symmetry_Int_Tables_number 139
_symmetry_space_group_name_Hall '-I 4 2'
loop_
_atom_site_label
_atom_site_type_symbol
_atom_site_fract_x
_atom_site_fract_y
_atom_site_fract_z
Sr1 Sr 0.0000 0.0000 0.1864
Sr2 Sr 0.0000 0.5000 0.0000
Li1 Li 0.0000 0.0000 0.3900
Ag1 Ag 0.0000 0.0000 0.0000
# Formation energy from the elements = 0.0671 eV per atom
# E = -1.85 eV/atom
# Magnetization = 0.00 μB per formula unit


# 5
# SrLi4Ag2 PBE optimized geometry
data_SrLi4Ag2
_chemical_formula_sum 'Sr2 Li8 Ag4'
_cell_length_a 8.3378
_cell_length_b 8.3378
_cell_length_c 4.4457
_cell_angle_alpha 90.00
_cell_angle_beta 90.00
_cell_angle_gamma 90.00
_symmetry_space_group_name_H-M 'P 42/m n m'
_symmetry_Int_Tables_number 136
_symmetry_space_group_name_Hall '-P 4n 2n'
loop_
_atom_site_label
_atom_site_type_symbol
_atom_site_fract_x
_atom_site_fract_y
_atom_site_fract_z
Sr1 Sr 0.0000 0.0000 0.0000
Li1 Li 0.0918 0.3472 0.5000
Ag1 Ag 0.2195 0.7805 0.5000
# Formation energy from the elements = -0.1807 eV per atom
# E = -2.33 eV/atom
# E above lowest polymorph = 0.000 eV/atom
# Magnetization = 0.00 μB per formula unit


# 6
# Sr3Li7Ag2 PBE optimized geometry
data_Sr3Li7Ag2
_chemical_formula_sum 'Sr9 Li21 Ag6'
_cell_length_a 6.1782
_cell_length_b 6.1782
_cell_length_c 29.1692
_cell_angle_alpha 90.00
_cell_angle_beta 90.00
_cell_angle_gamma 120.00
_symmetry_space_group_name_H-M 'R -3 m'
_symmetry_Int_Tables_number 166
_symmetry_space_group_name_Hall '-R 3 2"'
loop_
_atom_site_label
_atom_site_type_symbol
_atom_site_fract_x
_atom_site_fract_y
_atom_site_fract_z
Sr1 Sr 0.0000 0.0000 0.0000
Sr2 Sr 0.0000 0.0000 0.1416
Li1 Li 0.0000 0.0000 0.5000
Li2 Li 0.0010 0.5005 0.0735
Ag1 Ag 0.0000 0.0000 0.3331
# Formation energy from the elements = -0.0756 eV per atom
# E = -2.09 eV/atom
# Magnetization = 0.00 μB per formula unit


# 7
# Sr3Li2Ag9 PBE optimized geometry
data_Sr3Li2Ag9
_chemical_formula_sum 'Sr6 Li4 Ag18'
_cell_length_a 4.7202
_cell_length_b 10.0662
_cell_length_c 13.7463
_cell_angle_alpha 90.00
_cell_angle_beta 90.00
_cell_angle_gamma 90.00
_symmetry_space_group_name_H-M 'I m m m'
_symmetry_Int_Tables_number 71
_symmetry_space_group_name_Hall '-I 2 2'
loop_
_atom_site_label
_atom_site_type_symbol
_atom_site_fract_x
_atom_site_fract_y
_atom_site_fract_z
Sr1 Sr 0.0000 0.0000 0.0000
Sr2 Sr 0.0000 0.0000 0.3000
Li1 Li 0.0000 0.2068 0.5000
Ag1 Ag 0.0000 0.2801 0.1220
Ag2 Ag 0.0000 0.3573 0.3307
Ag3 Ag 0.0000 0.5000 0.0000
# Formation energy from the elements = -0.2251 eV per atom
# E = -2.69 eV/atom
# Magnetization = 0.00 μB per formula unit


# 8
# SrLi4Ag2 PBE optimized geometry
data_SrLi4Ag2
_chemical_formula_sum 'Sr2 Li8 Ag4'
_cell_length_a 7.4196
_cell_length_b 7.4196
_cell_length_c 6.5416
_cell_angle_alpha 90.00
_cell_angle_beta 90.00
_cell_angle_gamma 90.00
_symmetry_space_group_name_H-M 'I 4/m m m'
_symmetry_Int_Tables_number 139
_symmetry_space_group_name_Hall '-I 4 2'
loop_
_atom_site_label
_atom_site_type_symbol
_atom_site_fract_x
_atom_site_fract_y
_atom_site_fract_z
Sr1 Sr 0.0000 0.0000 0.0000
Li1 Li 0.0000 0.2452 0.5000
Ag1 Ag 0.0000 0.5000 0.2500
# Formation energy from the elements = 0.0896 eV per atom
# E = -2.06 eV/atom
# E above lowest polymorph = 0.270 eV/atom
# Magnetization = 0.00 μB per formula unit